Entry 1:
Below is a relaxed structure of Sc2TcIr, with properties calculated at the PBE level.

- formation enthalpy at 0 K (meV per atom) = -248
- crystal system = orthorhombic
- energy (hartree per atom) = -0.3021
- density (g cm⁻³) = 9.062

Structure (POSCAR):
```
Sc2TcIr
1.0
2.924 0.000 0.000
0.000 4.390 0.000
0.000 0.000 5.426
Sc Tc Ir
2 1 1
direct
0.000 0.000 0.000
0.500 0.500 0.319
0.000 0.000 0.516
0.500 0.500 0.807
```

Entry 2:
Below is a relaxed structure of LiZr2Cl, with properties calculated at the PBE level.

- ΔE_f (raw) (eV per atom) = 0.036
- crystal system = orthorhombic
- energy (hartree per atom) = -0.1903
- density (g cm⁻³) = 4.981

Structure (POSCAR):
```
LiZr2Cl
1.0
6.091 0.000 0.000
0.000 7.973 0.000
0.000 0.000 3.087
Li Zr Cl
2 4 2
direct
0.000 0.000 0.000
0.500 0.500 0.000
0.250 0.250 0.500
0.250 0.750 0.500
0.750 0.250 0.500
0.750 0.750 0.500
0.000 0.500 0.000
0.500 0.000 0.000
```

Entry 3:
Below is a relaxed structure of La3Ho2Er, with properties calculated at the PBE level.

- formation enthalpy at 0 K (meV per atom) = 66
- crystal system = orthorhombic
- energy (hartree per atom) = -0.1722
- density (g cm⁻³) = 7.516

Structure (POSCAR):
```
La3Ho2Er
1.0
0.000 5.592 10.297
3.506 0.000 10.297
3.506 5.592 0.000
La Ho Er
6 4 2
direct
0.142 0.687 0.313
0.180 0.180 0.820
0.313 0.858 0.142
0.687 0.142 0.858
0.820 0.820 0.180
0.858 0.313 0.687
0.250 0.250 0.250
0.265 0.735 0.735
0.735 0.265 0.265
0.750 0.750 0.750
0.344 0.344 0.656
0.656 0.656 0.344
```

Entry 4:
Below is a relaxed structure of LiIr4Pb, with properties calculated at the PBE level.

- formation enthalpy at 0 K (meV per atom) = 253
- crystal system = cubic
- energy (hartree per atom) = -0.2422
- density (g cm⁻³) = 15.585

Structure (POSCAR):
```
LiIr4Pb
1.0
0.000 3.741 3.741
3.741 0.000 3.741
3.741 3.741 0.000
Li Ir Pb
1 4 1
direct
0.000 0.000 0.000
0.375 0.375 0.375
0.375 0.375 0.876
0.375 0.876 0.375
0.876 0.375 0.375
0.750 0.750 0.750
```

Entry 5:
Below is a relaxed structure of KSn2F5, with properties calculated at the PBE level.

- ΔE_f (raw) (eV per atom) = -2.361
- crystal system = orthorhombic
- energy (hartree per atom) = -0.1716
- density (g cm⁻³) = 4.127

Structure (POSCAR):
```
KSn2F5
1.0
3.483 0.000 0.000
0.000 6.270 0.000
0.000 0.000 13.687
K Sn F
2 4 10
direct
0.000 0.000 0.000
0.500 0.500 0.500
0.000 0.500 0.158
0.000 0.500 0.842
0.500 0.000 0.342
0.500 0.000 0.658
0.000 0.243 0.378
0.000 0.243 0.622
0.000 0.500 0.000
0.000 0.757 0.378
0.000 0.757 0.622
0.500 0.000 0.500
0.500 0.257 0.122
0.500 0.257 0.878
0.500 0.743 0.122
0.500 0.743 0.878
```

Entry 6:
Below is a relaxed structure of Pr2TmAl3, with properties calculated at the PBE level.

- formation enthalpy at 0 K (meV per atom) = -157
- crystal system = orthorhombic
- energy (hartree per atom) = -0.1605
- density (g cm⁻³) = 5.262

Structure (POSCAR):
```
Pr2TmAl3
1.0
7.193 -4.806 0.000
7.193 4.806 0.000
0.000 0.000 4.854
Pr Tm Al
4 2 6
direct
0.035 0.670 0.750
0.330 0.965 0.750
0.670 0.035 0.250
0.965 0.330 0.250
0.382 0.618 0.250
0.618 0.382 0.750
0.072 0.928 0.250
0.319 0.319 0.000
0.319 0.319 0.500
0.681 0.681 0.000
0.681 0.681 0.500
0.928 0.072 0.750
```